Entry a
## RbLi3V (PBE)

Data for a relaxed RbLi3V crystal.

a = 5.1943 Å, b = 5.1943 Å, c = 5.1943 Å
α = 90.00°, β = 90.00°, γ = 90.00°
With the nearest neighbours (Å) after each atom.
Fractional positions:
Li (0.5000, 0.0000, 0.0000)  2 Rb 2.60
Li (0.0000, 0.0000, 0.5000)  2 Rb 2.60
Li (0.0000, 0.5000, 0.0000)  2 Rb 2.60
V (0.5000, 0.5000, 0.5000)  12 Li 3.67
Rb (0.0000, 0.0000, 0.0000)  6 Li 2.60

Results
As for the space group: Pm-3m (221). The density of states at the Fermi level comes out at 0.80 states/eV per atom.

=====

Entry b
## RbLi3V (PBE)

Data for a relaxed RbLi3V crystal.

a = 5.5064 Å, b = 5.5064 Å, c = 5.5064 Å
α = 90.00°, β = 90.00°, γ = 90.00°
With the nearest neighbours (Å) after each atom.
Fractional positions:
Li (0.5000, 0.0000, 0.0000)  2 V 2.75
Li (0.0000, 0.0000, 0.5000)  2 V 2.75
Li (0.0000, 0.5000, 0.0000)  2 V 2.75
V (0.0000, 0.0000, 0.0000)  6 Li 2.75
Rb (0.5000, 0.5000, 0.5000)  12 Li 3.89

Results
As for the space group: Pm-3m (221). The density of states at the Fermi level comes out at 1.26 states/eV per atom.

=====

Stability summary: most stable entry b, least stable entry a.